(1)
VASP calculation (PBE) on TbErCo after structural relaxation.

The space group is P4_2/mmc (No. 131) and the conventional cell measures 4.7542, 4.7542 and 6.7747 Å, with angles of 90.00, 90.00 and 90.00 degrees. The asymmetric unit holds Tb at (0.0000, 0.0000, 0.2500), Er at (0.5000, 0.5000, 0.0000) and Co at (0.0000, 0.5000, 0.0000).

Its total energy is -5.386 eV/atom. For the mass density, the calculation gives 8353 kg/m3. The formation enthalpy at 0 K is 4.6 kJ per mole of atoms. For the energy above the most stable polymorph in this dataset, the calculation gives 0.0 kJ per mole of atoms.

=====

(2)
VASP calculation (PBE) on HoCuSn after structural relaxation.

The space group is P6_3mc (No. 186) and the conventional cell measures 4.5134, 4.5134 and 7.2012 Å, with angles of 90.00, 90.00 and 120.00 degrees. The asymmetric unit holds Ho at (0.0000, 0.0000, 0.0000), Cu at (0.3333, 0.6667, 0.3187) and Sn at (0.3333, 0.6667, 0.7299).

Its total energy is -4.698 eV/atom. For the mass density, the calculation gives 9076 kg/m3.

=====

(3)
VASP calculation (PBE) on Y2LuBi3 after structural relaxation.

The space group is P-3m1 (No. 164) and the conventional cell measures 4.4401, 4.4401 and 10.9118 Å, with angles of 90.00, 90.00 and 120.00 degrees. The asymmetric unit holds Y at (0.3333, 0.6667, 0.3311), Lu at (0.0000, 0.0000, 0.0000), Bi at (0.0000, 0.0000, 0.5000) and Bi at (0.3333, 0.6667, 0.8382).

Its total energy is -5.788 eV/atom. For the mass density, the calculation gives 8733 kg/m3.

=====

(4)
VASP calculation (PBE) on CoGe2As after structural relaxation.

The space group is F-43m (No. 216) and the conventional cell measures 6.3445, 6.3445 and 6.3445 Å, with angles of 90.00, 90.00 and 90.00 degrees. The asymmetric unit holds Co at (0.0000, 0.0000, 0.0000), Ge at (0.0000, 0.0000, 0.5000), Ge at (0.2500, 0.2500, 0.2500) and As at (0.2500, 0.2500, 0.7500).

Its total energy is -4.858 eV/atom. For the mass density, the calculation gives 7260 kg/m3.

=====

The highest mass density belongs to which entry? HoCuSn

=====

Which value of mass density does entry 4 give? 7260 kg/m3

=====

Among the records above, which one has the lowest mass density? CoGe2As